Below is Al3Tl after structural relaxation, with properties calculated at the GGA-PBE level.

Cell: 3.0950 3.0950 8.5885 Å, 90.00 90.00 90.00°
Closest atoms and distances in Å follow each position.
Atoms (fractional coordinates):
Al 0.5000 0.5000 0.2500  12 Al 2.81-3.09
Tl 0.5000 0.5000 0.7500  4 Tl 3.09, 8 Al 3.35
Al 0.0000 0.0000 0.0447  8 Al 2.81-3.09
Al 0.0000 0.0000 0.4553  8 Al 2.81-3.09

Output
The crystal system is tetragonal. As for the space group: P4/mmm, No. 123. The calculation puts the total energy at -12.90 eV/cell. As for the volume: 82.3 Å³/f.u. The value obtained for the calculated formation energy is 0.69 eV/f.u. As for the energy above the most stable polymorph in this dataset: 0 meV/atom.